Crystalline Li2ZrCdH at its relaxed geometry. Source: Alexandria, functional GGA-PBE.

Cell: 4.323 4.323 4.201 Å, 90.00 90.00 90.00°
Site moments in Bohr magnetons follow the coordinates.
Element x y z (fractional)
Zr: 0.000 0.000 0.500  0.51
H: 0.000 0.000 0.000  -0.01
Li: 0.500 0.000 0.000  0.03
Li: 0.000 0.500 0.000  0.03
Cd: 0.500 0.500 0.500  0.03

Calculated values
Final energy = -17.074 eV per formula unit

=====

Crystalline Er2AgSn3 at its relaxed geometry. Source: Alexandria, functional GGA-PBE.

Cell: 5.635 8.023 8.023 Å, 114.89 90.00 90.00°
Element x y z (fractional)
Er: 0.750 0.177 0.453
Er: 0.250 0.823 0.547
Er: 0.250 0.547 0.823
Er: 0.750 0.453 0.177
Sn: 0.000 0.811 0.189
Sn: 0.500 0.811 0.189
Sn: 0.000 0.189 0.811
Sn: 0.500 0.189 0.811
Sn: 0.250 0.395 0.395
Sn: 0.750 0.605 0.605
Ag: 0.750 0.941 0.941
Ag: 0.250 0.059 0.059

Calculated values
Calculated formation energy = -0.229 eV per atom
Final energy = -25.357 eV per formula unit

=====

Crystalline Li2Nd2CuPd5 at its relaxed geometry. Source: Alexandria, functional GGA-PBE.

Cell: 3.806 9.501 9.501 Å, 90.00 90.00 90.00°
Element x y z (fractional)
Pd: 0.500 0.703 0.439
Pd: 0.500 0.939 0.203
Pd: 0.500 0.561 0.703
Pd: 0.500 0.797 0.939
Pd: 0.500 0.500 0.000
Pd: 0.500 0.000 0.500
Pd: 0.500 0.297 0.561
Pd: 0.500 0.061 0.797
Pd: 0.500 0.203 0.061
Pd: 0.500 0.439 0.297
Li: 0.000 0.883 0.383
Li: 0.000 0.117 0.617
Li: 0.000 0.383 0.117
Li: 0.000 0.617 0.883
Cu: 0.000 0.500 0.500
Cu: 0.000 0.000 0.000
Nd: 0.000 0.683 0.183
Nd: 0.000 0.317 0.817
Nd: 0.000 0.183 0.317
Nd: 0.000 0.817 0.683

Calculated values
Calculated formation energy = -0.533 eV per atom
Final energy = -48.758 eV per formula unit